Computed, not measured: Na4Ga2IrAu after structural relaxation at the PBE level of DFT.

abc: 4.706 4.706 6.801
angles: 90.00 90.00 90.00
Element x y z (fractional)
1 Au 0.500 0.500 0.000
2 Ga 0.000 0.500 0.297
3 Ga 0.500 0.000 0.703
4 Ir 0.000 0.000 0.500
5 Na 0.000 0.000 0.000
6 Na 0.500 0.000 0.245
7 Na 0.500 0.500 0.500
8 Na 0.000 0.500 0.755

Results
- Final energy: -23.905 eV for the cell shown